PBE LaSbP, relaxed; SG = P4/nmm (129); calculated volume = 158 Å³ per cell; energy above the most stable polymorph in this dataset = 0.419 eV per formula unit; raw total energy = -5.53 eV per atom
1.0
-3.933 0.054 -0.756
-0.519 -3.103 2.480
-1.355 6.212 7.490
La Sb P
2 2 2
Direct
0.500 0.000 0.229
0.000 0.500 0.771
0.500 0.000 0.582
0.000 0.500 0.418
0.000 0.000 0.000
0.500 0.500 0.000